(1)
A plane-wave DFT calculation with GGA-PBE was carried out for a geometry-optimized GaSiPd3 structure.

Cell lengths 4.6071, 4.6071, 4.6071 Å; angles 90.00, 90.00, 90.00 degrees
Closest atoms and distances in Å follow each position.
Fractional coordinates of all 5 atoms:
1 Ga 0.0000 0.0000 0.0000  6 Pd 2.30
2 Si 0.5000 0.5000 0.5000  12 Pd 3.26
3 Pd 0.0000 0.0000 0.5000  2 Ga 2.30
4 Pd 0.0000 0.5000 0.0000  2 Ga 2.30
5 Pd 0.5000 0.0000 0.0000  2 Ga 2.30

space-group type	Pm-3m (221)
polymorph energy (0 for the lowest one)	903	meV/atom

=====

(2)
A plane-wave DFT calculation with GGA-PBE was carried out for a geometry-optimized Ga2SiPd3 structure.

Cell lengths 5.1093, 5.1093, 8.2137 Å; angles 95.99, 95.99, 120.14 degrees
Closest atoms and distances in Å follow each position.
Fractional coordinates of all 12 atoms:
1 Ga 0.0000 0.0000 0.0000  6 Pd 2.60
2 Ga 0.1641 0.8359 0.5000  6 Pd 2.68-2.71, 6 Ga 2.91-2.97
3 Ga 0.5000 0.5000 0.5000  6 Pd 2.67-2.70, 6 Ga 2.93-2.97
4 Ga 0.8359 0.1641 0.5000  6 Pd 2.68-2.71, 6 Ga 2.91-2.97
5 Si 0.3335 0.6665 0.0000  6 Pd 2.56
6 Si 0.6665 0.3335 0.0000  6 Pd 2.56
7 Pd 0.0811 0.4222 0.2403  2 Si 2.56, 4 Ga 2.60-2.71
8 Pd 0.2606 0.2606 0.7596  2 Si 2.56, 4 Ga 2.60-2.69
9 Pd 0.4222 0.0811 0.2403  2 Si 2.56, 4 Ga 2.60-2.71
10 Pd 0.5778 0.9189 0.7597  2 Si 2.56, 4 Ga 2.60-2.71
11 Pd 0.7394 0.7394 0.2404  2 Si 2.56, 4 Ga 2.60-2.69
12 Pd 0.9189 0.5778 0.7597  2 Si 2.56, 4 Ga 2.60-2.71

space-group type	C2/m (12)
final energy	-29.9	eV/f.u.

=====

(3)
A plane-wave DFT calculation with GGA-PBE was carried out for a geometry-optimized GaSi2Pd4 structure.

Cell lengths 7.5693, 7.5693, 10.3528 Å; angles 90.00, 90.00, 158.20 degrees
Closest atoms and distances in Å follow each position.
Fractional coordinates of all 14 atoms:
1 Ga 0.1116 0.8884 0.7500  6 Pd 2.62-2.73, 2 Ga 2.86
2 Ga 0.8884 0.1116 0.2500  6 Pd 2.62-2.73, 2 Ga 2.86
3 Si 0.3691 0.6309 0.5592  6 Pd 2.42-2.49
4 Si 0.3691 0.6309 0.9408  6 Pd 2.42-2.49
5 Si 0.6309 0.3691 0.0592  6 Pd 2.42-2.49
6 Si 0.6309 0.3691 0.4408  6 Pd 2.42-2.49
7 Pd 0.0000 0.0000 0.0000  4 Si 2.49
8 Pd 0.0000 0.0000 0.5000  4 Si 2.49
9 Pd 0.2612 0.7388 0.1189  3 Si 2.44-2.49, 1 Pd 2.72, 2 Ga 2.73
10 Pd 0.2612 0.7388 0.3811  3 Si 2.44-2.49, 1 Pd 2.72, 2 Ga 2.73
11 Pd 0.4636 0.5364 0.7500  2 Si 2.42, 2 Ga 2.62
12 Pd 0.5364 0.4636 0.2500  2 Si 2.42, 2 Ga 2.62
13 Pd 0.7388 0.2612 0.6189  3 Si 2.44-2.49, 1 Pd 2.72, 2 Ga 2.73
14 Pd 0.7388 0.2612 0.8811  3 Si 2.44-2.49, 1 Pd 2.72, 2 Ga 2.73

space-group type	Cmcm (63)
final energy	-37.6	eV/f.u.

=====

(4)
A plane-wave DFT calculation with GGA-PBE was carried out for a geometry-optimized Ga2SiPd4 structure.

Cell lengths 5.2310, 5.2310, 4.0198 Å; angles 90.00, 90.00, 94.31 degrees
Closest atoms and distances in Å follow each position.
Fractional coordinates of all 7 atoms:
1 Ga 0.1906 0.8094 0.0000  8 Pd 2.57-2.78
2 Ga 0.8094 0.1906 0.0000  8 Pd 2.57-2.78
3 Si 0.5000 0.5000 0.5000  8 Pd 2.47-2.62
4 Pd 0.0000 0.5000 0.5000  2 Si 2.62, 4 Ga 2.72, 4 Pd 2.80
5 Pd 0.2974 0.2974 0.0000  2 Si 2.47, 2 Ga 2.57
6 Pd 0.5000 0.0000 0.5000  2 Si 2.62, 4 Ga 2.72, 4 Pd 2.80
7 Pd 0.7026 0.7026 0.0000  2 Si 2.47, 2 Ga 2.57

space-group type	Cmmm (65)
polymorph energy (0 for the lowest one)	0	meV/atom

=====

(5)
A plane-wave DFT calculation with GGA-PBE was carried out for a geometry-optimized GaSi2Pd structure.

Cell lengths 8.4961, 8.4961, 8.4961 Å; angles 151.86, 151.86, 40.22 degrees
Closest atoms and distances in Å follow each position.
Fractional coordinates of all 8 atoms:
1 Ga 0.0000 0.0000 0.0000  4 Si 2.56
2 Ga 0.7500 0.2500 0.5000  4 Si 2.56
3 Si 0.1701 0.6250 0.0451  2 Pd 2.40, 2 Ga 2.56, 2 Si 2.67
4 Si 0.3750 0.4201 0.5451  2 Pd 2.40, 2 Ga 2.56, 2 Si 2.67
5 Si 0.5799 0.1250 0.9549  2 Pd 2.40, 2 Ga 2.56, 2 Si 2.67
6 Si 0.8750 0.8299 0.4549  2 Pd 2.40, 2 Ga 2.56, 2 Si 2.67
7 Pd 0.2500 0.7500 0.5000  4 Si 2.40
8 Pd 0.5000 0.5000 0.0000  4 Si 2.40

space-group type	I-42d (122)
polymorph energy (0 for the lowest one)	0	meV/atom

=====

(6)
A plane-wave DFT calculation with GGA-PBE was carried out for a geometry-optimized Ga2SiPd8 structure.

Cell lengths 7.0065, 7.0065, 7.0065 Å; angles 145.65, 118.68, 72.21 degrees
Closest atoms and distances in Å follow each position.
Fractional coordinates of all 11 atoms:
1 Ga 0.1924 0.1924 0.0000  8 Pd 2.55-2.67
2 Ga 0.8076 0.8076 0.0000  8 Pd 2.55-2.67
3 Si 0.5000 0.5000 0.0000  8 Pd 2.56-2.63
4 Pd 0.0717 0.3427 0.7290  3 Ga 2.58-2.67, 1 Si 2.63, 5 Pd 2.75-2.88
5 Pd 0.1856 0.0000 0.1856  2 Ga 2.55, 7 Pd 2.65-2.75
6 Pd 0.3665 0.8665 0.5000  2 Si 2.56, 6 Pd 2.71-2.85, 2 Ga 2.86
7 Pd 0.3863 0.6573 0.7290  3 Ga 2.58-2.67, 1 Si 2.63, 5 Pd 2.75-2.88
8 Pd 0.6137 0.3427 0.2710  3 Ga 2.58-2.67, 1 Si 2.63, 5 Pd 2.75-2.88
9 Pd 0.6335 0.1335 0.5000  2 Si 2.56, 6 Pd 2.71-2.85, 2 Ga 2.86
10 Pd 0.8144 0.0000 0.8144  2 Ga 2.55, 7 Pd 2.65-2.75
11 Pd 0.9283 0.6573 0.2710  3 Ga 2.58-2.67, 1 Si 2.63, 5 Pd 2.75-2.88

space-group type	Immm (71)
polymorph energy (0 for the lowest one)	46	meV/atom

=====

(7)
A plane-wave DFT calculation with GGA-PBE was carried out for a geometry-optimized GaSiPd3 structure.

Cell lengths 2.9040, 7.9869, 7.9869 Å; angles 59.81, 90.00, 90.00 degrees
Closest atoms and distances in Å follow each position.
Fractional coordinates of all 10 atoms:
1 Ga 0.0000 0.9995 0.9995  8 Pd 2.60, 2 Ga 2.90
2 Ga 0.5000 0.5000 0.5000  8 Pd 2.60-2.87, 2 Ga 2.90
3 Si 0.0000 0.0001 0.4990  6 Pd 2.38-2.47
4 Si 0.0000 0.4990 0.0001  6 Pd 2.38-2.47
5 Pd 0.0000 0.3443 0.3443  2 Si 2.38, 2 Ga 2.60
6 Pd 0.0000 0.6558 0.6558  2 Si 2.38, 2 Ga 2.60
7 Pd 0.5000 0.0841 0.6967  2 Si 2.47, 2 Ga 2.60
8 Pd 0.5000 0.3024 0.9148  2 Si 2.47, 2 Ga 2.60
9 Pd 0.5000 0.6967 0.0841  2 Si 2.47, 2 Ga 2.60
10 Pd 0.5000 0.9148 0.3024  2 Si 2.47, 2 Ga 2.60

space-group type	Amm2 (38)
polymorph energy (0 for the lowest one)	0	meV/atom

=====

(8)
A plane-wave DFT calculation with GGA-PBE was carried out for a geometry-optimized Ga2SiPd6 structure.

Cell lengths 8.0210, 8.0210, 4.1411 Å; angles 90.00, 90.00, 90.00 degrees
Closest atoms and distances in Å follow each position.
Fractional coordinates of all 18 atoms:
1 Ga 0.2079 0.2079 0.0000  10 Pd 2.59-2.84
2 Ga 0.2921 0.7079 0.5000  10 Pd 2.59-2.84
3 Ga 0.7079 0.2921 0.5000  10 Pd 2.59-2.84
4 Ga 0.7921 0.7921 0.0000  10 Pd 2.59-2.84
5 Si 0.0000 0.0000 0.5000  8 Pd 2.49-2.53
6 Si 0.5000 0.5000 0.0000  8 Pd 2.49-2.53
7 Pd 0.0299 0.3138 0.5000  1 Si 2.53, 3 Ga 2.59-2.65
8 Pd 0.1213 0.8787 0.0000  2 Si 2.49, 2 Ga 2.73, 1 Pd 2.75
9 Pd 0.1862 0.5299 0.0000  1 Si 2.53, 3 Ga 2.59-2.65
10 Pd 0.3138 0.0299 0.5000  1 Si 2.53, 3 Ga 2.59-2.65
11 Pd 0.3787 0.3787 0.5000  2 Si 2.49, 2 Ga 2.73, 1 Pd 2.75
12 Pd 0.4701 0.8138 0.0000  1 Si 2.53, 3 Ga 2.59-2.65
13 Pd 0.5299 0.1862 0.0000  1 Si 2.53, 3 Ga 2.59-2.65
14 Pd 0.6213 0.6213 0.5000  2 Si 2.49, 2 Ga 2.73, 1 Pd 2.75
15 Pd 0.6862 0.9701 0.5000  1 Si 2.53, 3 Ga 2.59-2.65
16 Pd 0.8138 0.4701 0.0000  1 Si 2.53, 3 Ga 2.59-2.65
17 Pd 0.8787 0.1213 0.0000  2 Si 2.49, 2 Ga 2.73, 1 Pd 2.75
18 Pd 0.9701 0.6862 0.5000  1 Si 2.53, 3 Ga 2.59-2.65

space-group type	P4_2/mnm (136)
final energy	-47.8	eV/f.u.

=====

(9)
A plane-wave DFT calculation with GGA-PBE was carried out for a geometry-optimized GaSi2Pd2 structure.

Cell lengths 6.7001, 6.7001, 6.7001 Å; angles 148.60, 148.60, 45.00 degrees
Closest atoms and distances in Å follow each position.
Fractional coordinates of all 5 atoms:
1 Ga 0.0000 0.0000 0.0000  8 Pd 2.93
2 Si 0.2500 0.7500 0.5000  4 Pd 2.47, 4 Si 2.56
3 Si 0.7500 0.2500 0.5000  4 Pd 2.47, 4 Si 2.56
4 Pd 0.3855 0.3855 0.0000  4 Si 2.47
5 Pd 0.6145 0.6145 0.0000  4 Si 2.47

space-group type	I4/mmm (139)
polymorph energy (0 for the lowest one)	0	meV/atom

=====

(10)
A plane-wave DFT calculation with GGA-PBE was carried out for a geometry-optimized Ga5Si2Pd12 structure.

Cell lengths 8.1524, 8.1524, 7.7992 Å; angles 114.28, 114.28, 43.21 degrees
Closest atoms and distances in Å follow each position.
Fractional coordinates of all 19 atoms:
1 Ga 0.0000 0.0000 0.0000  6 Pd 2.59-2.64
2 Ga 0.3123 0.3123 0.1621  7 Pd 2.53-2.69
3 Ga 0.3146 0.3146 0.6832  7 Pd 2.44-2.55
4 Ga 0.6854 0.6854 0.3168  7 Pd 2.44-2.55
5 Ga 0.6877 0.6877 0.8379  7 Pd 2.53-2.69
6 Si 0.2966 0.7034 0.5000  6 Pd 2.34-2.47, 1 Si 2.44
7 Si 0.7034 0.2966 0.5000  6 Pd 2.34-2.47, 1 Si 2.44
8 Pd 0.0455 0.0455 0.7172  2 Si 2.34, 1 Ga 2.59
9 Pd 0.0782 0.6064 0.9404  4 Ga 2.44-2.64
10 Pd 0.0843 0.5836 0.4466  1 Si 2.38, 3 Ga 2.49-2.58
11 Pd 0.3936 0.9218 0.0596  4 Ga 2.44-2.64
12 Pd 0.4164 0.9157 0.5534  1 Si 2.38, 3 Ga 2.49-2.58
13 Pd 0.4978 0.4978 0.7729  2 Si 2.47, 2 Ga 2.55-2.69
14 Pd 0.5022 0.5022 0.2271  2 Si 2.47, 2 Ga 2.55-2.69
15 Pd 0.5836 0.0843 0.4466  1 Si 2.38, 3 Ga 2.49-2.58
16 Pd 0.6064 0.0782 0.9404  4 Ga 2.44-2.64
17 Pd 0.9157 0.4164 0.5534  1 Si 2.38, 3 Ga 2.49-2.58
18 Pd 0.9218 0.3936 0.0596  4 Ga 2.44-2.64
19 Pd 0.9545 0.9545 0.2828  2 Si 2.34, 1 Ga 2.59

space-group type	C2/m (12)
final energy	-96.8	eV/f.u.